# 1
Density functional theory data (PBE-GGA) for crystalline Sm2PdO4 at its relaxed geometry.

abc: 7.9944 7.9944 6.4208
angles: 90.00 90.00 90.00
Closest atoms and distances in Å follow each position.
Element x y z (fractional)
Sm: 0.0702 0.5702 0.2500  6 O 2.35
Sm: 0.0702 0.9298 0.7500  6 O 2.35
Sm: 0.4298 0.5702 0.7500  6 O 2.35
Sm: 0.4298 0.9298 0.2500  6 O 2.35
Sm: 0.5702 0.0702 0.7500  6 O 2.35
Sm: 0.5702 0.4298 0.2500  6 O 2.35
Sm: 0.9298 0.0702 0.2500  6 O 2.35
Sm: 0.9298 0.4298 0.7500  6 O 2.35
Pd: 0.2500 0.2500 0.0630  4 O 2.07
Pd: 0.2500 0.2500 0.5630  4 O 2.07
Pd: 0.7500 0.7500 0.4370  4 O 2.07
Pd: 0.7500 0.7500 0.9370  4 O 2.07
O: 0.0014 0.1796 0.5783  1 Pd 2.07
O: 0.0014 0.3204 0.0783  1 Pd 2.07
O: 0.1796 0.0014 0.0783  1 Pd 2.07
O: 0.1796 0.4986 0.5783  1 Pd 2.07
O: 0.3204 0.0014 0.5783  1 Pd 2.07
O: 0.3204 0.4986 0.0783  1 Pd 2.07
O: 0.4986 0.1796 0.0783  1 Pd 2.07
O: 0.4986 0.3204 0.5783  1 Pd 2.07
O: 0.5014 0.6796 0.4217  1 Pd 2.07
O: 0.5014 0.8204 0.9217  1 Pd 2.07
O: 0.6796 0.5014 0.9217  1 Pd 2.07
O: 0.6796 0.9986 0.4217  1 Pd 2.07
O: 0.8204 0.5014 0.4217  1 Pd 2.07
O: 0.8204 0.9986 0.9217  1 Pd 2.07
O: 0.9986 0.6796 0.9217  1 Pd 2.07
O: 0.9986 0.8204 0.4217  1 Pd 2.07

Calculated values
SG: P4/ncc
Energy (eV for the cell shown): -209.971
ΔE to the lowest computed polymorph (meV/atom): 1

---

# 2
Density functional theory data (PBE-GGA) for crystalline SmInNi5 at its relaxed geometry.

abc: 10.2761 10.2761 10.2761
angles: 27.49 27.49 27.49
Closest atoms and distances in Å follow each position.
Element x y z (fractional)
Sm: 0.0000 0.0000 0.0000  6 Ni 2.82
Sm: 0.5000 0.5000 0.5000  12 Ni 2.97-3.24, 6 In 3.28
In: 0.1101 0.1101 0.1101  10 Ni 2.61-2.92
In: 0.8899 0.8899 0.8899  10 Ni 2.61-2.92
Ni: 0.0702 0.5671 0.5671  7 Ni 2.43-2.48
Ni: 0.1980 0.1980 0.1980  3 Ni 2.44, 1 In 2.61
Ni: 0.3336 0.3336 0.3336  6 Ni 2.45-2.48
Ni: 0.4329 0.4329 0.9298  7 Ni 2.43-2.48
Ni: 0.4329 0.9298 0.4329  7 Ni 2.43-2.48
Ni: 0.5671 0.0702 0.5671  7 Ni 2.43-2.48
Ni: 0.5671 0.5671 0.0702  7 Ni 2.43-2.48
Ni: 0.6664 0.6664 0.6664  6 Ni 2.45-2.48
Ni: 0.8020 0.8020 0.8020  3 Ni 2.44, 1 In 2.61
Ni: 0.9298 0.4329 0.4329  7 Ni 2.43-2.48

Calculated values
SG: R-3m
Energy (eV for the cell shown): -75.049